Computed, not measured: a relaxed RbCd3Rh crystal at the PBE level of DFT.

The value obtained for the energy is -2.1314 eV/atom. As for the formation enthalpy at 0 K: 0.0814 eV/atom. The value obtained for the magnetic moment is 0.00 Bohr magnetons per cell.

```
data_RbCd3Rh
_chemical_formula_sum 'Rb2 Cd6 Rh2'
_cell_length_a 7.590
_cell_length_b 7.590
_cell_length_c 5.371
_cell_angle_alpha 90.00
_cell_angle_beta 90.00
_cell_angle_gamma 117.16
_symmetry_space_group_name_H-M 'P 1'
_symmetry_Int_Tables_number 1
_symmetry_space_group_name_Hall 'P 1'
loop_
_atom_site_label
_atom_site_type_symbol
_atom_site_fract_x
_atom_site_fract_y
_atom_site_fract_z
Cd1 Cd 0.416 0.931 0.750
Rh1 Rh 0.816 0.184 0.750
Rh2 Rh 0.184 0.816 0.250
Cd2 Cd 0.584 0.069 0.250
Cd3 Cd 0.000 0.000 0.000
Cd4 Cd 0.000 0.000 0.500
Cd5 Cd 0.069 0.584 0.750
Rb1 Rb 0.570 0.430 0.750
Rb2 Rb 0.430 0.570 0.250
Cd6 Cd 0.931 0.416 0.250
```

Computed, not measured: a relaxed Fe2OsPt crystal at the PBE level of DFT.

The value obtained for the energy is -8.3594 eV/atom. As for the formation enthalpy at 0 K: 0.1895 eV/atom. The value obtained for the magnetic moment is 6.06 Bohr magnetons per cell.

```
data_Fe2OsPt
_chemical_formula_sum 'Fe2 Os1 Pt1'
_cell_length_a 4.849
_cell_length_b 5.154
_cell_length_c 2.616
_cell_angle_alpha 76.91
_cell_angle_beta 86.68
_cell_angle_gamma 117.11
_symmetry_space_group_name_H-M 'P 1'
_symmetry_Int_Tables_number 1
_symmetry_space_group_name_Hall 'P 1'
loop_
_atom_site_label
_atom_site_type_symbol
_atom_site_fract_x
_atom_site_fract_y
_atom_site_fract_z
Fe1 Fe 0.000 0.000 0.000
Fe2 Fe 0.500 0.000 0.500
Pt1 Pt 0.500 0.500 0.000
Os1 Os 0.000 0.500 0.500
```

Computed, not measured: a relaxed SrAsSeN2 crystal at the PBE level of DFT.

The value obtained for the energy is -3.7230 eV/atom. The value obtained for the uncorrected formation energy is 151.5 kJ/mol of atoms. The value obtained for the magnetic moment is 3.10 Bohr magnetons per cell.

```
data_SrAsSeN2
_chemical_formula_sum 'Sr1 As1 Se1 N2'
_cell_length_a 4.740
_cell_length_b 4.740
_cell_length_c 6.201
_cell_angle_alpha 90.00
_cell_angle_beta 90.00
_cell_angle_gamma 90.00
_symmetry_space_group_name_H-M 'P 1'
_symmetry_Int_Tables_number 1
_symmetry_space_group_name_Hall 'P 1'
loop_
_atom_site_label
_atom_site_type_symbol
_atom_site_fract_x
_atom_site_fract_y
_atom_site_fract_z
Se1 Se 0.000 0.000 0.500
As1 As 0.500 0.500 0.500
Sr1 Sr 0.000 0.000 0.000
N1 N 0.500 0.000 0.000
N2 N 0.000 0.500 0.000
```

Computed, not measured: a relaxed Pr3Ni2Ir crystal at the PBE level of DFT.

The value obtained for the energy is -6.1553 eV/atom. As for the formation enthalpy at 0 K: -0.3616 eV/atom. The value obtained for the magnetic moment is 0.00 Bohr magnetons per cell.

```
data_Pr3Ni2Ir
_chemical_formula_sum 'Pr12 Ni8 Ir4'
_cell_length_a 4.083
_cell_length_b 11.946
_cell_length_c 11.751
_cell_angle_alpha 90.00
_cell_angle_beta 90.00
_cell_angle_gamma 90.00
_symmetry_space_group_name_H-M 'P 1'
_symmetry_Int_Tables_number 1
_symmetry_space_group_name_Hall 'P 1'
loop_
_atom_site_label
_atom_site_type_symbol
_atom_site_fract_x
_atom_site_fract_y
_atom_site_fract_z
Ni1 Ni 0.250 0.487 0.815
Pr1 Pr 0.750 0.557 0.621
Ni2 Ni 0.750 0.987 0.685
Ni3 Ni 0.750 0.306 0.522
Pr2 Pr 0.750 0.193 0.295
Pr3 Pr 0.750 0.943 0.121
Ir1 Ir 0.750 0.629 0.374
Pr4 Pr 0.250 0.121 0.560
Pr5 Pr 0.750 0.879 0.440
Ni4 Ni 0.250 0.013 0.315
Pr6 Pr 0.250 0.807 0.705
Pr7 Pr 0.250 0.379 0.060
Pr8 Pr 0.250 0.057 0.879
Ir2 Ir 0.250 0.129 0.126
Ni5 Ni 0.250 0.806 0.978
Ni6 Ni 0.750 0.513 0.185
Ni7 Ni 0.750 0.194 0.022
Pr9 Pr 0.250 0.443 0.379
Pr10 Pr 0.250 0.693 0.205
Ni8 Ni 0.250 0.694 0.478
Pr11 Pr 0.750 0.307 0.795
Pr12 Pr 0.750 0.621 0.940
Ir3 Ir 0.750 0.871 0.874
Ir4 Ir 0.250 0.371 0.626
```

Computed, not measured: a relaxed Rb4I3 crystal at the PBE level of DFT.

The value obtained for the energy is -2.4765 eV/atom. The value obtained for the uncorrected formation energy is -121.5 kJ/mol of atoms. The value obtained for the magnetic moment is 0.00 Bohr magnetons per cell.

```
data_Rb4I3
_chemical_formula_sum 'Rb4 I3'
_cell_length_a 5.224
_cell_length_b 5.224
_cell_length_c 17.748
_cell_angle_alpha 81.54
_cell_angle_beta 81.54
_cell_angle_gamma 60.00
_symmetry_space_group_name_H-M 'P 1'
_symmetry_Int_Tables_number 1
_symmetry_space_group_name_Hall 'P 1'
loop_
_atom_site_label
_atom_site_type_symbol
_atom_site_fract_x
_atom_site_fract_y
_atom_site_fract_z
Rb1 Rb 0.375 0.375 0.875
I1 I 0.250 0.250 0.251
I2 I 0.750 0.750 0.749
I3 I 0.000 0.000 0.000
Rb2 Rb 0.874 0.874 0.378
Rb3 Rb 0.625 0.625 0.125
Rb4 Rb 0.126 0.126 0.622
```

Computed, not measured: a relaxed PaBRu2Rh crystal at the PBE level of DFT.

The value obtained for the energy is -9.0580 eV/atom. As for the formation enthalpy at 0 K: -0.6427 eV/atom. The value obtained for the magnetic moment is 0.00 Bohr magnetons per cell.

```
data_PaBRu2Rh
_chemical_formula_sum 'Pa1 B1 Ru2 Rh1'
_cell_length_a 4.166
_cell_length_b 4.232
_cell_length_c 4.232
_cell_angle_alpha 90.00
_cell_angle_beta 90.00
_cell_angle_gamma 90.00
_symmetry_space_group_name_H-M 'P 1'
_symmetry_Int_Tables_number 1
_symmetry_space_group_name_Hall 'P 1'
loop_
_atom_site_label
_atom_site_type_symbol
_atom_site_fract_x
_atom_site_fract_y
_atom_site_fract_z
B1 B 0.000 0.000 0.000
Ru1 Ru 0.000 0.500 0.000
Rh1 Rh 0.500 0.000 0.000
Pa1 Pa 0.500 0.500 0.500
Ru2 Ru 0.000 0.000 0.500
```

> The lowest energy belongs to which entry?

PaBRu2Rh